# 1
First-principles (PBE-GGA) data for crystalline SrAlW2 at its relaxed geometry, as listed in the Alexandria database.

Properties
Magnetic moment ... 0.0 μB/cell
Formation energy from the elements ... 0.54 eV/atom

Structure (POSCAR):
```
SrAlW2
1.0
2.7905 0.0000 0.0000
0.0000 3.9954 0.0000
0.0000 0.0000 7.5149
Sr Al W
1 1 2
Direct
0.0000 0.0000 0.0000
0.5000 0.5000 0.6925
0.0000 0.0000 0.5047
0.5000 0.5000 0.3255
```


# 2
First-principles (PBE-GGA) data for crystalline SrAlW2 at its relaxed geometry, as listed in the Alexandria database.

Properties
Magnetic moment ... 0.0 μB/cell
Formation energy from the elements ... 0.61 eV/atom

Structure (POSCAR):
```
SrAlW2
1.0
4.4458 -1.3995 0.0000
4.4458 1.3995 0.0000
-0.4246 0.0000 6.8632
Sr Al W
1 1 2
Direct
0.0000 0.0000 0.0000
0.7522 0.7522 0.3239
0.2376 0.2376 0.6725
0.4873 0.4873 0.5037
```


# 3
First-principles (PBE-GGA) data for crystalline Sr2AlW2 at its relaxed geometry, as listed in the Alexandria database.

Properties
Magnetic moment ... 0.0 μB/cell
Energy above the most stable polymorph in this dataset ... 12.05 kcal/mol of atoms
Formation energy from the elements ... 1.23 eV/atom

Structure (POSCAR):
```
Sr2AlW2
1.0
9.4639 0.0000 0.0000
0.0000 9.4639 0.0000
0.0000 0.0000 3.1035
Sr Al W
4 2 4
Direct
0.2029 0.2971 0.0000
0.2971 0.7971 0.0000
0.7029 0.2029 0.0000
0.7971 0.7029 0.0000
0.0000 0.0000 0.0000
0.5000 0.5000 0.0000
0.0842 0.5842 0.5000
0.4158 0.0842 0.5000
0.5842 0.9158 0.5000
0.9158 0.4158 0.5000
```


# 4
First-principles (PBE-GGA) data for crystalline SrAlW2 at its relaxed geometry, as listed in the Alexandria database.

Properties
Magnetic moment ... 0.0 μB/cell
Formation energy from the elements ... 1.13 eV/atom

Structure (POSCAR):
```
SrAlW2
1.0
-2.3137 2.3137 9.6079
2.3137 -2.3137 9.6079
2.3137 2.3137 -9.6079
Sr Al W
2 2 4
Direct
0.0000 0.0000 0.0000
0.7500 0.2500 0.5000
0.2500 0.7500 0.5000
0.5000 0.5000 0.0000
0.2948 0.1250 0.6698
0.3750 0.7052 0.8302
0.4552 0.6250 0.3302
0.8750 0.5448 0.1698
```


# 5
First-principles (PBE-GGA) data for crystalline SrAl3W at its relaxed geometry, as listed in the Alexandria database.

Properties
Magnetic moment ... 0.0 μB/cell
Formation energy from the elements ... 0.07 eV/atom

Structure (POSCAR):
```
SrAl3W
1.0
4.9638 0.0000 0.0000
0.0000 4.9638 0.0000
0.0000 0.0000 4.9638
Sr Al W
1 3 1
Direct
0.0000 0.0000 0.0000
0.0000 0.5000 0.5000
0.5000 0.0000 0.5000
0.5000 0.5000 0.0000
0.5000 0.5000 0.5000
```


# 6
First-principles (PBE-GGA) data for crystalline SrAlW2 at its relaxed geometry, as listed in the Alexandria database.

Properties
Magnetic moment ... 0.0 μB/cell
Formation energy from the elements ... 1.05 eV/atom

Structure (POSCAR):
```
SrAlW2
1.0
2.8880 -4.8933 0.0000
2.8880 4.8933 0.0000
0.0000 0.0000 2.7492
Sr Al W
1 1 2
Direct
0.0000 0.0000 0.0000
0.5000 0.5000 0.0000
0.0000 0.5000 0.5000
0.5000 0.0000 0.5000
```


# 7
First-principles (PBE-GGA) data for crystalline SrAlW2 at its relaxed geometry, as listed in the Alexandria database.

Properties
Magnetic moment ... 0.8 μB/cell
Formation energy from the elements ... 0.87 eV/atom

Structure (POSCAR):
```
SrAlW2
1.0
0.0000 3.3803 3.3803
3.3803 0.0000 3.3803
3.3803 3.3803 0.0000
Sr Al W
1 1 2
Direct
0.0000 0.0000 0.0000
0.2500 0.2500 0.2500
0.5000 0.5000 0.5000
0.7500 0.7500 0.7500
```


# 8
First-principles (PBE-GGA) data for crystalline SrAlW2 at its relaxed geometry, as listed in the Alexandria database.

Properties
Magnetic moment ... 0.0 μB/cell
Formation energy from the elements ... 0.78 eV/atom

Structure (POSCAR):
```
SrAlW2
1.0
5.4725 -1.3865 0.0000
5.4725 1.3865 0.0000
-1.5250 0.0000 5.1876
Sr Al W
1 1 2
Direct
0.0000 0.0000 0.0000
0.5000 0.5000 0.5000
0.2190 0.2190 0.7053
0.7810 0.7810 0.2947
```


# 9
First-principles (PBE-GGA) data for crystalline SrAlW2 at its relaxed geometry, as listed in the Alexandria database.

Properties
Magnetic moment ... 0.0 μB/cell
Formation energy from the elements ... 0.94 eV/atom

Structure (POSCAR):
```
SrAlW2
1.0
2.8162 0.0000 0.0000
0.0000 5.1226 0.0000
-0.3187 0.0000 5.4120
Sr Al W
1 1 2
Direct
0.0000 0.0000 0.0000
0.5000 0.0000 0.5000
0.3385 0.5000 0.7477
0.6615 0.5000 0.2523
```


# 10
First-principles (PBE-GGA) data for crystalline SrAlW2 at its relaxed geometry, as listed in the Alexandria database.

Properties
Magnetic moment ... 0.0 μB/cell
Formation energy from the elements ... 0.86 eV/atom

Structure (POSCAR):
```
SrAlW2
1.0
1.4628 0.8445 10.2139
-1.4628 0.8445 10.2139
0.0000 -1.6891 10.2139
Sr Al W
1 1 2
Direct
0.0000 0.0000 0.0000
0.5000 0.5000 0.5000
0.2389 0.2389 0.2389
0.7611 0.7611 0.7611
```


# 11
First-principles (PBE-GGA) data for crystalline SrAlW2 at its relaxed geometry, as listed in the Alexandria database.

Properties
Magnetic moment ... 0.0 μB/cell
Formation energy from the elements ... 0.97 eV/atom

Structure (POSCAR):
```
SrAlW2
1.0
2.9276 -5.0350 0.0000
2.9276 5.0350 0.0000
-0.8859 0.0000 2.6073
Sr Al W
1 1 2
Direct
0.0000 0.0000 0.0000
0.5000 0.5000 0.0000
0.0000 0.5000 0.5000
0.5000 0.0000 0.5000
```


# 12
First-principles (PBE-GGA) data for crystalline SrAlW2 at its relaxed geometry, as listed in the Alexandria database.

Properties
Magnetic moment ... 0.0 μB/cell
Formation energy from the elements ... 1.10 eV/atom

Structure (POSCAR):
```
SrAlW2
1.0
-2.0379 2.0379 4.7795
2.0379 -2.0379 4.7795
2.0379 2.0379 -4.7795
Sr Al W
1 1 2
Direct
0.0000 0.0000 0.0000
0.5000 0.5000 0.0000
0.2500 0.7500 0.5000
0.7500 0.2500 0.5000
```


Number 1: calculated volume 20.9 A^3/atom. Number 2: calculated volume 21.4 A^3/atom. Number 3: calculated volume 27.8 A^3/atom. Number 4: calculated volume 25.7 A^3/atom. Number 5: calculated volume 24.5 A^3/atom. Number 6: calculated volume 19.4 A^3/atom. Number 7: calculated volume 19.3 A^3/atom. Number 8: calculated volume 19.7 A^3/atom. Number 9: calculated volume 19.5 A^3/atom. Number 10: calculated volume 18.9 A^3/atom. Number 11: calculated volume 19.2 A^3/atom. Number 12: calculated volume 19.9 A^3/atom.